# 1
Here is an optimized crystal structure of BeAu2Se from Alexandria. Energies are from GGA-PBE.

Results
Formation energy from raw total energies (eV/atom): 0.33
Crystal system: tetragonal
Energy relative to the lowest polymorph listed for this composition (meV/atom): 363
Uncorrected energy (eV/cell): -12.5
Space group: I-4m2, No. 119
Theoretical density (g cm⁻³): 11.839
Magnetic moment (μB/f.u.): 0.000

Lattice parameters (Å, degrees): 5.0233 5.0233 5.0233 132.50 132.50 69.44
Atoms (fractional coordinates):
Au 0.2500 0.7500 0.5000
Se 0.7500 0.2500 0.5000
Au 0.0000 0.0000 0.0000
Be 0.5000 0.5000 0.0000



# 2
Here is an optimized crystal structure of Ba3Zr2O6 from Alexandria. Energies are from GGA-PBE.

Results
Formation energy from raw total energies (eV/atom): -2.84
Crystal system: tetragonal
Uncorrected energy (eV/cell): -83.8
Space group: I4/mmm, No. 139
Theoretical density (g cm⁻³): 5.758
Magnetic moment (μB/f.u.): 0.000

Lattice parameters (Å, degrees): 4.2536 4.2536 11.4095 100.74 100.74 90.00
Atoms (fractional coordinates):
O 0.9050 0.4050 0.8100
O 0.4050 0.9050 0.8100
Ba 0.1845 0.1845 0.3690
O 0.5950 0.0950 0.1900
Zr 0.4019 0.4019 0.8038
Zr 0.5981 0.5981 0.1962
Ba 0.8155 0.8155 0.6310
O 0.0950 0.5950 0.1900
O 0.3063 0.3063 0.6127
Ba 0.0000 0.0000 0.0000
O 0.6937 0.6937 0.3873



# 3
Here is an optimized crystal structure of CePr2Nd3S6 from Alexandria. Energies are from GGA-PBE.

Results
Formation energy from raw total energies (eV/atom): -2.03
Crystal system: monoclinic
Uncorrected energy (eV/cell): -79.0
Space group: C2/m, No. 12
Theoretical density (g cm⁻³): 6.062
Magnetic moment (μB/f.u.): 0.705

Lattice parameters (Å, degrees): 7.0561 7.0561 7.0618 99.60 99.60 120.07
Each line ends with the local moment (μB).
Atoms (fractional coordinates):
S 0.7555 0.7555 0.2526  0.00
Nd 0.5000 0.5000 0.5000  0.01
Nd 0.8297 0.1703 0.5000  0.00
S 0.9167 0.5884 0.7504  0.00
S 0.5884 0.9167 0.7504  0.00
Nd 0.1703 0.8297 0.5000  0.00
Ce 0.0000 0.0000 0.0000  0.58
Pr 0.6671 0.3329 0.0000  0.01
Pr 0.3329 0.6671 0.0000  0.01
S 0.0833 0.4116 0.2496  0.00
S 0.2445 0.2445 0.7474  0.00
S 0.4116 0.0833 0.2496  0.00



# 4
Here is an optimized crystal structure of LaSm5Ho2 from Alexandria. Energies are from GGA-PBE.

Results
Crystal system: orthorhombic
Uncorrected energy (eV/cell): -75.1
Space group: Pbam, No. 55
Theoretical density (g cm⁻³): 7.570
Magnetic moment (μB/f.u.): 0.000
Energy relative to the elements (meV/atom): 18.4

Lattice parameters (Å, degrees): 5.0994 7.2445 14.4945 90.00 90.00 90.00
Atoms (fractional coordinates):
Sm 0.0000 0.0016 0.2485
La 0.0000 0.0000 0.5000
Sm 0.5000 0.2519 0.3740
Sm 0.5000 0.7481 0.6260
Ho 0.5000 0.7494 0.8741
Sm 0.5000 0.7519 0.1260
Sm 0.0000 0.9984 0.7515
Sm 0.0000 0.5016 0.2515
Sm 0.0000 0.5000 0.5000
Sm 0.0000 0.0000 0.0000
La 0.0000 0.5000 0.0000
Ho 0.5000 0.2494 0.6259
Ho 0.5000 0.7506 0.3741
Sm 0.0000 0.4984 0.7485
Sm 0.5000 0.2481 0.8740
Ho 0.5000 0.2506 0.1259



# 5
Here is an optimized crystal structure of LiNd2Zn4Au3 from Alexandria. Energies are from GGA-PBE.

Results
Crystal system: tetragonal
Uncorrected energy (eV/cell): -31.2
Space group: P-4m2, No. 115
Theoretical density (g cm⁻³): 9.365
Magnetic moment (μB/f.u.): 0.000
Energy relative to the elements (meV/atom): -485.5

Lattice parameters (Å, degrees): 4.1305 4.1305 11.9315 90.00 90.00 90.00
Atoms (fractional coordinates):
Li 0.5000 0.5000 0.5000
Zn 0.0000 0.0000 0.0000
Au 0.5000 0.0000 0.8565
Zn 0.5000 0.5000 0.0000
Nd 0.0000 0.5000 0.7520
Zn 0.0000 0.5000 0.3627
Nd 0.5000 0.0000 0.2480
Zn 0.5000 0.0000 0.6373
Au 0.0000 0.0000 0.5000
Au 0.0000 0.5000 0.1435



# 6
Here is an optimized crystal structure of PmNd2Sm4Dy2 from Alexandria. Energies are from GGA-PBE.

Results
Crystal system: triclinic
Uncorrected energy (eV/cell): -41.7
Space group: P-1, No. 2
Theoretical density (g cm⁻³): 7.402
Magnetic moment (μB/f.u.): 0.000
Energy relative to the elements (meV/atom): 72.5

Lattice parameters (Å, degrees): 6.9183 10.0322 6.7231 121.33 126.95 59.42
Atoms (fractional coordinates):
Sm 0.2640 0.1156 0.7974
Sm 0.6254 0.7561 0.5102
Sm 0.3746 0.2439 0.4898
Nd 0.2712 0.6568 0.6013
Pm 0.0000 0.0000 0.0000
Dy 0.8202 0.4439 0.0336
Dy 0.1798 0.5561 0.9664
Sm 0.7360 0.8844 0.2026
Nd 0.7288 0.3432 0.3987



Question: uncorrected energy of number 2 (Ba3Zr2O6)?
Answer: -83.8 eV/cell



Question: Which value of uncorrected energy does entry 1 give?
Answer: -12.5 eV/cell



Question: Which of these has the highest uncorrected energy?
Answer: BeAu2Se



Question: The lowest theoretical density belongs to which entry?
Answer: Ba3Zr2O6